[1]
This record from the Alexandria database describes an optimized crystal structure of Zr2SiAg. The functional is PBE-GGA.

Calculated values
Uncorrected formation energy ... -0.059 eV per atom
Size of the total moment ... 0.00 μB/f.u.
Uncorrected energy ... -25.6 eV for the cell shown

Cell lengths 3.113, 3.113, 8.061 Å; angles 90.00, 90.00, 90.00 degrees
Fractional coordinates of all 4 atoms:
Zr (0.000, 0.000, 0.970)
Zr (0.500, 0.500, 0.263)
Si (0.500, 0.500, 0.736)
Ag (0.000, 0.000, 0.532)

---

[2]
This record from the Alexandria database describes an optimized crystal structure of Zr2SiAg. The functional is PBE-GGA.

Calculated values
Uncorrected formation energy ... 0.253 eV per atom
Size of the total moment ... 1.77 μB/f.u.
Uncorrected energy ... -24.4 eV for the cell shown

Cell lengths 4.790, 4.790, 4.790 Å; angles 60.00, 60.00, 60.00 degrees
Site moments in Bohr magnetons follow the coordinates.
Fractional coordinates of all 4 atoms:
Si (0.750, 0.750, 0.750)  -0.02
Ag (0.500, 0.500, 0.500)  0.05
Zr (0.250, 0.250, 0.250)  0.67
Zr (0.000, 0.000, 0.000)  0.59

---

[3]
This record from the Alexandria database describes an optimized crystal structure of Zr2SiAg. The functional is PBE-GGA.

Calculated values
Uncorrected formation energy ... -0.163 eV per atom
Size of the total moment ... 0.00 μB/f.u.
Uncorrected energy ... -26.0 eV for the cell shown

Cell lengths 3.711, 3.711, 5.819 Å; angles 90.00, 90.00, 90.00 degrees
Fractional coordinates of all 4 atoms:
Si (0.500, 0.500, 0.780)
Zr (0.500, 0.500, 0.265)
Zr (0.000, 0.000, 0.965)
Ag (0.000, 0.000, 0.490)

---

[4]
This record from the Alexandria database describes an optimized crystal structure of Zr2SiAg. The functional is PBE-GGA.

Calculated values
Uncorrected formation energy ... -0.214 eV per atom
Size of the total moment ... 0.00 μB/f.u.
Uncorrected energy ... -26.2 eV for the cell shown

Cell lengths 3.709, 3.709, 7.503 Å; angles 75.69, 75.69, 60.02 degrees
Fractional coordinates of all 4 atoms:
Zr (0.988, 0.988, 0.037)
Zr (0.512, 0.512, 0.463)
Ag (0.750, 0.750, 0.750)
Si (0.250, 0.250, 0.250)

---

[5]
This record from the Alexandria database describes an optimized crystal structure of ZrSi4Ag. The functional is PBE-GGA.

Calculated values
Uncorrected formation energy ... 0.026 eV per atom
Size of the total moment ... 0.00 μB/f.u.
Uncorrected energy ... -32.9 eV for the cell shown

Cell lengths 5.105, 5.105, 5.105 Å; angles 60.00, 60.00, 60.00 degrees
Fractional coordinates of all 6 atoms:
Si (0.626, 0.626, 0.122)
Si (0.626, 0.122, 0.626)
Si (0.122, 0.626, 0.626)
Si (0.626, 0.626, 0.626)
Ag (0.000, 0.000, 0.000)
Zr (0.250, 0.250, 0.250)

---

[6]
This record from the Alexandria database describes an optimized crystal structure of Zr2SiAg. The functional is PBE-GGA.

Calculated values
Uncorrected formation energy ... -0.321 eV per atom
Size of the total moment ... 0.00 μB/f.u.
Uncorrected energy ... -26.7 eV for the cell shown

Cell lengths 3.032, 3.032, 8.177 Å; angles 90.00, 90.00, 91.42 degrees
Fractional coordinates of all 4 atoms:
Ag (0.500, 0.500, 0.250)
Si (0.500, 0.500, 0.750)
Zr (0.000, 0.000, 0.977)
Zr (0.000, 0.000, 0.523)

---

[7]
This record from the Alexandria database describes an optimized crystal structure of Zr2SiAg. The functional is PBE-GGA.

Calculated values
Uncorrected formation energy ... -0.313 eV per atom
Size of the total moment ... 0.00 μB/f.u.
Uncorrected energy ... -26.6 eV for the cell shown

Cell lengths 2.998, 3.830, 6.643 Å; angles 90.00, 90.00, 90.00 degrees
Fractional coordinates of all 4 atoms:
Ag (0.500, 0.500, 0.250)
Zr (0.000, 0.000, 0.516)
Zr (0.000, 0.000, 0.984)
Si (0.500, 0.500, 0.750)

---

[8]
This record from the Alexandria database describes an optimized crystal structure of SmAg6. The functional is PBE-GGA.

Calculated values
ΔE to the lowest computed polymorph ... 0 meV/atom
Size of the total moment ... 0.00 μB/f.u.
Uncorrected energy ... -90.4 eV for the cell shown

Cell lengths 5.702, 8.924, 11.266 Å; angles 90.00, 90.00, 90.00 degrees
Fractional coordinates of all 28 atoms:
Ag (0.250, 0.814, 0.765)
Ag (0.009, 0.938, 0.308)
Ag (0.750, 0.853, 0.849)
Ag (0.750, 0.606, 0.020)
Ag (0.250, 0.394, 0.980)
Ag (0.991, 0.062, 0.692)
Ag (0.509, 0.562, 0.808)
Ag (0.009, 0.438, 0.192)
Ag (0.750, 0.106, 0.480)
Ag (0.491, 0.938, 0.308)
Ag (0.750, 0.686, 0.265)
Ag (0.509, 0.062, 0.692)
Ag (0.250, 0.314, 0.735)
Ag (0.250, 0.647, 0.349)
Ag (0.991, 0.562, 0.808)
Ag (0.750, 0.186, 0.235)
Ag (0.491, 0.438, 0.192)
Ag (0.750, 0.435, 0.415)
Ag (0.250, 0.894, 0.520)
Ag (0.250, 0.065, 0.915)
Ag (0.250, 0.565, 0.585)
Ag (0.750, 0.353, 0.651)
Ag (0.750, 0.935, 0.085)
Ag (0.250, 0.147, 0.151)
Sm (0.750, 0.243, 0.932)
Sm (0.250, 0.757, 0.068)
Sm (0.750, 0.743, 0.568)
Sm (0.250, 0.257, 0.432)

---

[9]
This record from the Alexandria database describes an optimized crystal structure of SmAg3. The functional is PBE-GGA.

Calculated values
ΔE to the lowest computed polymorph ... 39 meV/atom
Size of the total moment ... 0.00 μB/f.u.
Uncorrected energy ... -14.0 eV for the cell shown

Cell lengths 4.742, 4.742, 5.102 Å; angles 117.69, 117.69, 90.00 degrees
Fractional coordinates of all 4 atoms:
Sm (0.000, 0.000, 0.000)
Ag (0.250, 0.750, 0.500)
Ag (0.500, 0.500, 0.000)
Ag (0.750, 0.250, 0.500)

---

[10]
This record from the Alexandria database describes an optimized crystal structure of SmAg. The functional is PBE-GGA.

Calculated values
Size of the total moment ... 0.00 μB/f.u.
Uncorrected energy ... -7.6 eV for the cell shown

Cell lengths 4.345, 4.345, 4.345 Å; angles 60.00, 60.00, 60.00 degrees
Fractional coordinates of all 2 atoms:
Sm (0.500, 0.500, 0.500)
Ag (0.000, 0.000, 0.000)

---

[11]
This record from the Alexandria database describes an optimized crystal structure of Sm4Ag. The functional is PBE-GGA.

Calculated values
ΔE to the lowest computed polymorph ... 0 meV/atom
Size of the total moment ... 0.00 μB/f.u.
Uncorrected energy ... -43.8 eV for the cell shown

Cell lengths 9.044, 5.894, 8.892 Å; angles 70.65, 59.43, 49.33 degrees
Fractional coordinates of all 10 atoms:
Sm (0.962, 0.851, 0.373)
Sm (0.665, 0.649, 0.373)
Sm (0.430, 0.653, 0.834)
Sm (0.335, 0.351, 0.627)
Sm (0.264, 0.153, 0.166)
Sm (0.570, 0.347, 0.166)
Sm (0.736, 0.847, 0.834)
Sm (0.038, 0.149, 0.627)
Ag (0.000, 0.750, 0.000)
Ag (0.000, 0.250, 0.000)

---

[12]
This record from the Alexandria database describes an optimized crystal structure of SmAg2. The functional is PBE-GGA.

Calculated values
Size of the total moment ... 0.00 μB/f.u.
Uncorrected energy ... -21.8 eV for the cell shown

Cell lengths 5.760, 5.760, 5.760 Å; angles 60.00, 60.00, 60.00 degrees
Fractional coordinates of all 6 atoms:
Ag (0.625, 0.125, 0.625)
Ag (0.125, 0.625, 0.625)
Ag (0.625, 0.625, 0.625)
Ag (0.625, 0.625, 0.125)
Sm (0.000, 0.000, 0.000)
Sm (0.250, 0.250, 0.250)

---

[13]
This record from the Alexandria database describes an optimized crystal structure of Sm4Ag3. The functional is PBE-GGA.

Calculated values
ΔE to the lowest computed polymorph ... 0 meV/atom
Size of the total moment ... 0.00 μB/f.u.
Uncorrected energy ... -57.4 eV for the cell shown

Cell lengths 6.513, 8.409, 8.409 Å; angles 113.58, 104.96, 104.96 degrees
Fractional coordinates of all 14 atoms:
Ag (0.130, 0.590, 0.868)
Ag (0.262, 0.132, 0.722)
Ag (0.738, 0.868, 0.278)
Ag (0.540, 0.278, 0.410)
Ag (0.460, 0.722, 0.590)
Ag (0.870, 0.410, 0.132)
Sm (0.629, 0.552, 0.852)
Sm (0.923, 0.700, 0.552)
Sm (0.500, 0.000, 0.000)
Sm (0.777, 0.148, 0.700)
Sm (0.371, 0.448, 0.148)
Sm (0.223, 0.852, 0.300)
Sm (0.000, 0.000, 0.000)
Sm (0.077, 0.300, 0.448)

---

[14]
This record from the Alexandria database describes an optimized crystal structure of SmAg. The functional is PBE-GGA.

Calculated values
Size of the total moment ... 0.00 μB/f.u.
Uncorrected energy ... -16.2 eV for the cell shown

Cell lengths 3.849, 4.890, 5.901 Å; angles 90.00, 108.41, 90.00 degrees
Fractional coordinates of all 4 atoms:
Ag (0.076, 0.750, 0.156)
Ag (0.924, 0.250, 0.844)
Sm (0.640, 0.250, 0.285)
Sm (0.360, 0.750, 0.715)

---

[15]
This record from the Alexandria database describes an optimized crystal structure of SmAg4. The functional is PBE-GGA.

Calculated values
Size of the total moment ... 0.00 μB/f.u.
Uncorrected energy ... -16.6 eV for the cell shown

Cell lengths 4.071, 4.071, 7.230 Å; angles 106.33, 106.33, 90.07 degrees
Fractional coordinates of all 5 atoms:
Ag (0.897, 0.397, 0.295)
Ag (0.250, 0.250, 0.000)
Ag (0.103, 0.603, 0.705)
Ag (0.750, 0.750, 0.000)
Sm (0.500, 0.000, 0.500)

---

[16]
This record from the Alexandria database describes an optimized crystal structure of Sm5Ag. The functional is PBE-GGA.

Calculated values
Size of the total moment ... 0.00 μB/f.u.
Uncorrected energy ... -26.3 eV for the cell shown

Cell lengths 4.967, 4.849, 8.027 Å; angles 107.58, 90.00, 90.00 degrees
Fractional coordinates of all 6 atoms:
Sm (0.500, 0.831, 0.663)
Sm (0.500, 0.500, 0.000)
Sm (0.000, 0.662, 0.325)
Sm (0.000, 0.338, 0.675)
Sm (0.500, 0.169, 0.337)
Ag (0.000, 0.000, 0.000)

---

[17]
This record from the Alexandria database describes an optimized crystal structure of SmAg4. The functional is PBE-GGA.

Calculated values
Size of the total moment ... 0.00 μB/f.u.
Uncorrected energy ... -10.9 eV for the cell shown

Cell lengths 5.549, 5.549, 5.549 Å; angles 90.00, 90.00, 90.00 degrees
Fractional coordinates of all 5 atoms:
Ag (0.000, 0.500, 0.500)
Ag (0.500, 0.500, 0.000)
Ag (0.000, 0.000, 0.000)
Ag (0.500, 0.000, 0.500)
Sm (0.500, 0.500, 0.500)

---

[18]
This record from the Alexandria database describes an optimized crystal structure of SmAg3. The functional is PBE-GGA.

Calculated values
ΔE to the lowest computed polymorph ... 44 meV/atom
Size of the total moment ... 0.00 μB/f.u.
Uncorrected energy ... -28.0 eV for the cell shown

Cell lengths 6.436, 6.436, 4.891 Å; angles 90.00, 90.00, 120.00 degrees
Fractional coordinates of all 8 atoms:
Ag (0.846, 0.154, 0.750)
Ag (0.154, 0.846, 0.250)
Ag (0.154, 0.307, 0.250)
Ag (0.693, 0.846, 0.250)
Ag (0.307, 0.154, 0.750)
Ag (0.846, 0.693, 0.750)
Sm (0.333, 0.667, 0.750)
Sm (0.667, 0.333, 0.250)

---

[19]
This record from the Alexandria database describes an optimized crystal structure of Sm13Ag2. The functional is PBE-GGA.

Calculated values
Size of the total moment ... 0.00 μB/f.u.
Uncorrected energy ... -67.5 eV for the cell shown

Cell lengths 6.460, 8.560, 9.437 Å; angles 111.37, 78.55, 98.03 degrees
Fractional coordinates of all 15 atoms:
Ag (0.873, 0.788, 0.546)
Ag (0.127, 0.212, 0.454)
Sm (0.250, 0.403, 0.947)
Sm (0.284, 0.009, 0.645)
Sm (0.536, 0.372, 0.586)
Sm (0.049, 0.580, 0.701)
Sm (0.210, 0.821, 0.233)
Sm (0.000, 0.000, 0.000)
Sm (0.750, 0.597, 0.053)
Sm (0.716, 0.991, 0.355)
Sm (0.951, 0.420, 0.299)
Sm (0.790, 0.179, 0.767)
Sm (0.475, 0.205, 0.158)
Sm (0.525, 0.795, 0.842)
Sm (0.464, 0.628, 0.414)

---

[20]
This record from the Alexandria database describes an optimized crystal structure of Sm14Ag51. The functional is PBE-GGA.

Calculated values
Size of the total moment ... 0.00 μB/f.u.
Uncorrected energy ... -226.8 eV for the cell shown

Cell lengths 12.912, 12.912, 9.451 Å; angles 90.00, 90.00, 120.00 degrees
Fractional coordinates of all 65 atoms:
Ag (0.907, 0.514, 0.500)
Ag (0.431, 0.156, 0.500)
Ag (0.395, 0.258, 0.759)
Ag (0.999, 0.230, 0.333)
Ag (0.591, 0.521, 0.769)
Ag (0.109, 0.672, 0.666)
Ag (0.328, 0.437, 0.666)
Ag (0.930, 0.409, 0.769)
Ag (0.844, 0.276, 0.500)
Ag (0.654, 0.202, 0.000)
Ag (0.742, 0.137, 0.759)
Ag (0.547, 0.346, 0.000)
Ag (0.724, 0.569, 0.500)
Ag (0.291, 0.842, 0.847)
Ag (0.863, 0.605, 0.759)
Ag (0.000, 0.000, 0.701)
Ag (0.742, 0.137, 0.241)
Ag (0.333, 0.667, 0.300)
Ag (0.231, 0.001, 0.333)
Ag (0.050, 0.832, 0.152)
Ag (0.000, 0.000, 0.000)
Ag (0.231, 0.001, 0.667)
Ag (0.798, 0.453, 0.000)
Ag (0.563, 0.891, 0.334)
Ag (0.109, 0.672, 0.334)
Ag (0.551, 0.709, 0.153)
Ag (0.551, 0.709, 0.847)
Ag (0.999, 0.230, 0.667)
Ag (0.863, 0.605, 0.241)
Ag (0.050, 0.832, 0.848)
Ag (0.479, 0.070, 0.769)
Ag (0.395, 0.258, 0.241)
Ag (0.168, 0.218, 0.152)
Ag (0.168, 0.218, 0.848)
Ag (0.782, 0.950, 0.152)
Ag (0.607, 0.093, 0.500)
Ag (0.333, 0.667, 0.700)
Ag (0.479, 0.070, 0.231)
Ag (0.291, 0.842, 0.153)
Ag (0.770, 0.769, 0.667)
Ag (0.930, 0.409, 0.231)
Ag (0.591, 0.521, 0.231)
Ag (0.486, 0.393, 0.500)
Ag (0.158, 0.449, 0.153)
Ag (0.782, 0.950, 0.848)
Ag (0.563, 0.891, 0.666)
Ag (0.333, 0.667, 0.000)
Ag (0.158, 0.449, 0.847)
Ag (0.328, 0.437, 0.334)
Ag (0.000, 0.000, 0.299)
Ag (0.770, 0.769, 0.333)
Sm (0.527, 0.659, 0.500)
Sm (0.808, 0.005, 0.500)
Sm (0.934, 0.219, 0.000)
Sm (0.667, 0.333, 0.695)
Sm (0.667, 0.333, 0.305)
Sm (0.341, 0.868, 0.500)
Sm (0.196, 0.192, 0.500)
Sm (0.285, 0.066, 0.000)
Sm (0.781, 0.715, 0.000)
Sm (0.552, 0.933, 0.000)
Sm (0.995, 0.804, 0.500)
Sm (0.067, 0.618, 0.000)
Sm (0.132, 0.473, 0.500)
Sm (0.382, 0.448, 0.000)